No. 1
# Ca2HgN

A geometry-optimized Ca2HgN structure (PBE, Alexandria via LeMat-Bulk).

The excess energy over the best structure of this formula in the dataset comes out at 2 meV/atom. The value obtained for the uncorrected formation energy is -0.70 eV per atom.

It has space group R3m (No. 160, hexagonal axes), with a = 3.5877 Å, b = 3.5877 Å, c = 24.6043 Å, α = 90.00°, β = 90.00° and γ = 120.00°. The distinct sites, in fractional coordinates, are Ca at (0.0000, 0.0000, 0.0000), Ca at (0.0000, 0.0000, 0.2310), Hg at (0.0000, 0.0000, 0.4482) and N at (0.0000, 0.0000, 0.6151).

***

No. 2
# Ca2HgN

A geometry-optimized Ca2HgN structure (PBE, Alexandria via LeMat-Bulk).

The excess energy over the best structure of this formula in the dataset comes out at 271 meV/atom. The value obtained for the uncorrected formation energy is -0.43 eV per atom.

It has space group P4/mmm (No. 123), with a = 3.163 Å, b = 3.163 Å, c = 7.878 Å, α = 90.00°, β = 90.00° and γ = 90.00°. The distinct sites, in fractional coordinates, are Ca at (0.000, 0.000, 0.166), Hg at (0.500, 0.500, 0.500) and N at (0.500, 0.500, 0.000).

***

No. 3
# Ca7HgN2

A geometry-optimized Ca7HgN2 structure (PBE, Alexandria via LeMat-Bulk).

The value obtained for the uncorrected formation energy is -0.33 eV per atom.

It has space group Cmmm (No. 65), with a = 9.459 Å, b = 12.408 Å, c = 4.729 Å, α = 90.00°, β = 90.00° and γ = 90.00°. The distinct sites, in fractional coordinates, are Ca at (0.000, 0.000, 0.000), Ca at (0.000, 0.199, 0.500), Ca at (0.165, 0.359, 0.000), Hg at (0.000, 0.500, 0.500) and N at (0.000, 0.213, 0.000).